# NbTeAuS2 PBE optimized geometry
# space group = P4/mmm, No. 123
# volume = 26.419 A^3/atom
# uncorrected energy = -0.144 hartree per atom
# total magnetic moment = 3.3 μB/f.u.
data_NbTeAuS2
_chemical_formula_sum 'Nb1 Te1 Au1 S2'
_space_group_name_H-M_alt 'P 1'
_space_group_IT_number 1
_cell_length_a 5.0948
_cell_length_b 5.0891
_cell_length_c 5.0948
_cell_angle_alpha 90.00
_cell_angle_beta 90.00
_cell_angle_gamma 90.00
loop_
_space_group_symop_operation_xyz
'x,y,z'
loop_
_atom_site_label
_atom_site_fract_x
_atom_site_fract_y
_atom_site_fract_z
_atom_site_occupancy
Au1 0.0000 0.5000 0.0000 1
Nb1 0.5000 0.5000 0.5000 1
S1 0.0000 0.0000 0.5000 1
S2 0.5000 0.0000 0.0000 1
Te1 0.0000 0.0000 0.0000 1